# CoPbSO

An optimized crystal structure of CoPbSO (PBE+U, the Open Quantum Materials Database).

Values from the calculation:
The value obtained for the volume is 312 Å³ per cell. The total DFT energy (no corrections) is -0.191 Ha/atom. The energy above the most stable polymorph in this dataset is 7 meV per atom.

a b c (Å): 5.874 3.864 13.737
angles (deg): 90.00 90.00 90.00
Atoms (fractional coordinates):
Co (0.135, 0.250, 0.196)
Co (0.365, 0.750, 0.696)
Co (0.635, 0.250, 0.304)
Co (0.865, 0.750, 0.804)
Pb (0.238, 0.750, 0.420)
Pb (0.262, 0.250, 0.920)
Pb (0.738, 0.750, 0.080)
Pb (0.762, 0.250, 0.580)
S (0.243, 0.750, 0.110)
S (0.257, 0.250, 0.610)
S (0.743, 0.750, 0.390)
S (0.757, 0.250, 0.890)
O (0.204, 0.750, 0.819)
O (0.296, 0.250, 0.319)
O (0.704, 0.750, 0.681)
O (0.796, 0.250, 0.181)